<1>
This record from Alexandria describes PuHfTi after structural relaxation. The functional is GGA-PBE.

Values from the calculation:
* magnetization: 9.92 μB per cell
* symmetry: Pmmn

Unit cell a=3.0165 b=4.8514 c=8.5074 alpha=90.00 beta=90.00 gamma=90.00
Closest atoms and distances in Å follow each position.
Sites, in units of the cell vectors:
1 Hf 0.5000 0.0000 0.5937  6 Hf 3.02-3.27, 5 Pu 3.03-3.20, 2 Ti 3.19
2 Pu 0.0000 0.5000 0.7628  4 Ti 2.79-3.06, 2 Pu 3.02, 1 Hf 3.03
3 Ti 0.5000 0.5000 0.0763  4 Pu 2.79-3.06, 2 Ti 3.02
4 Pu 0.5000 0.0000 0.2372  4 Ti 2.79-3.06, 2 Pu 3.02, 1 Hf 3.03
5 Ti 0.0000 0.0000 0.9237  4 Pu 2.79-3.06, 2 Ti 3.02
6 Hf 0.0000 0.5000 0.4063  6 Hf 3.02-3.27, 5 Pu 3.03-3.20, 2 Ti 3.19



<2>
This record from Alexandria describes PuHfTi after structural relaxation. The functional is GGA-PBE.

Values from the calculation:
* magnetization: 4.63 μB per cell
* symmetry: P-6m2

Unit cell a=3.0611 b=4.8564 c=4.8564 alpha=120.00 beta=90.00 gamma=90.00
Closest atoms and distances in Å follow each position.
Sites, in units of the cell vectors:
1 Ti 0.5001 0.3333 0.6667  3 Pu 2.80, 2 Ti 3.06
2 Pu 0.4999 0.6667 0.3333  3 Ti 2.80, 2 Pu 3.06
3 Hf 0.0000 0.0000 0.0000  2 Hf 3.06, 6 Ti 3.19, 6 Pu 3.19



Top of the stability list: <2>, leading by 1.9 kJ/mol of atoms.